The following is a PBE calculation of a relaxed structure of Nb12Cr3Mo5, from the Alexandria database.

Cell: 12.9091 12.9091 12.9091 Å, 109.47 109.47 109.47°
Closest atoms and distances in Å follow each position.
Atoms (fractional coordinates):
Cr 0.3750 0.6250 0.2500  4 Nb 2.47
Nb 0.6247 0.5589 0.8917  1 Cr 2.47, 2 Mo 2.55
Mo 0.5000 0.5000 0.5000  6 Nb 2.55
Nb 0.4411 0.3753 0.6083  1 Cr 2.47, 2 Mo 2.55
Nb 0.0657 0.4411 0.8328  1 Cr 2.47, 2 Mo 2.55
Cr 0.1250 0.8750 0.7500  4 Nb 2.47
Cr 0.6250 0.2500 0.3750  4 Nb 2.47
Mo 0.0000 0.5000 0.5000  6 Nb 2.55
Nb 0.9411 0.8328 0.5657  1 Cr 2.47, 2 Mo 2.55
Cr 0.2500 0.6250 0.8750  4 Nb 2.47
Nb 0.4343 0.6672 0.0589  1 Cr 2.47, 2 Mo 2.55
Nb 0.7330 0.1247 0.0657  1 Cr 2.47, 2 Mo 2.55
Mo 0.6250 0.8750 0.2500  4 Nb 2.55
Cr 0.8750 0.1250 0.2500  4 Nb 2.47
Nb 0.2330 0.5657 0.6247  1 Cr 2.47, 2 Mo 2.55
Mo 0.7500 0.1250 0.8750  4 Nb 2.55
Mo 0.5000 0.0000 0.0000  6 Nb 2.55
Nb 0.1672 0.0589 0.9343  1 Cr 2.47, 2 Mo 2.55
Mo 0.1250 0.7500 0.3750  4 Nb 2.55
Nb 0.9343 0.5589 0.1672  1 Cr 2.47, 2 Mo 2.55
Mo 0.6250 0.7500 0.8750  4 Nb 2.55
Nb 0.0657 0.6247 0.7330  1 Cr 2.47, 2 Mo 2.55
Mo 0.0000 0.5000 0.0000  6 Nb 2.55
Nb 0.3753 0.4411 0.1083  1 Cr 2.47, 2 Mo 2.55
Cr 0.7500 0.3750 0.1250  4 Nb 2.47
Nb 0.6083 0.8753 0.4411  1 Cr 2.47, 2 Mo 2.55
Nb 0.5589 0.9343 0.6672  1 Cr 2.47, 2 Mo 2.55
Nb 0.0589 0.8917 0.1247  1 Cr 2.47, 2 Mo 2.55
Mo 0.5000 0.5000 0.0000  6 Nb 2.55
Nb 0.2670 0.3917 0.8328  1 Cr 2.47, 2 Mo 2.55
Nb 0.7670 0.4343 0.3753  1 Cr 2.47, 2 Mo 2.55
Nb 0.1247 0.3917 0.0589  1 Cr 2.47, 2 Mo 2.55
Nb 0.7330 0.6083 0.1672  1 Cr 2.47, 2 Mo 2.55
Nb 0.8917 0.0589 0.6247  1 Cr 2.47, 2 Mo 2.55
Nb 0.8917 0.8328 0.7670  1 Cr 2.47, 2 Mo 2.55
Nb 0.2670 0.8753 0.9343  1 Cr 2.47, 2 Mo 2.55
Nb 0.6672 0.2330 0.6083  1 Cr 2.47, 2 Mo 2.55
Mo 0.3750 0.2500 0.1250  4 Nb 2.55
Nb 0.1247 0.7330 0.5657  1 Cr 2.47, 2 Mo 2.55
Nb 0.2330 0.6672 0.1083  1 Cr 2.47, 2 Mo 2.55
Mo 0.1250 0.3750 0.2500  4 Nb 2.55
Mo 0.3750 0.1250 0.7500  4 Nb 2.55
Nb 0.5657 0.2330 0.1247  1 Cr 2.47, 2 Mo 2.55
Cr 0.7500 0.8750 0.6250  4 Nb 2.47
Nb 0.8753 0.6083 0.9411  1 Cr 2.47, 2 Mo 2.55
Nb 0.9343 0.3753 0.2670  1 Cr 2.47, 2 Mo 2.55
Cr 0.1250 0.2500 0.8750  4 Nb 2.47
Mo 0.2500 0.3750 0.6250  4 Nb 2.55
Nb 0.0589 0.1672 0.4343  1 Cr 2.47, 2 Mo 2.55
Nb 0.1083 0.9411 0.3753  1 Cr 2.47, 2 Mo 2.55
Mo 0.2500 0.8750 0.1250  4 Nb 2.55
Nb 0.6247 0.0657 0.2330  1 Cr 2.47, 2 Mo 2.55
Cr 0.8750 0.7500 0.1250  4 Nb 2.47
Mo 0.0000 0.0000 0.0000  6 Nb 2.55
Nb 0.1672 0.1083 0.7330  1 Cr 2.47, 2 Mo 2.55
Cr 0.2500 0.1250 0.3750  4 Nb 2.47
Nb 0.8328 0.8917 0.2670  1 Cr 2.47, 2 Mo 2.55
Nb 0.3328 0.7670 0.3917  1 Cr 2.47, 2 Mo 2.55
Cr 0.6250 0.3750 0.7500  4 Nb 2.47
Nb 0.5657 0.3328 0.9411  1 Cr 2.47, 2 Mo 2.55
Nb 0.9411 0.1083 0.8753  1 Cr 2.47, 2 Mo 2.55
Mo 0.7500 0.6250 0.3750  4 Nb 2.55
Nb 0.1083 0.1672 0.2330  1 Cr 2.47, 2 Mo 2.55
Mo 0.8750 0.2500 0.6250  4 Nb 2.55
Nb 0.8753 0.2670 0.4343  1 Cr 2.47, 2 Mo 2.55
Nb 0.7670 0.3328 0.8917  1 Cr 2.47, 2 Mo 2.55
Nb 0.6672 0.4343 0.5589  1 Cr 2.47, 2 Mo 2.55
Mo 0.0000 0.0000 0.5000  6 Nb 2.55
Nb 0.3917 0.1247 0.5589  1 Cr 2.47, 2 Mo 2.55
Nb 0.6083 0.7330 0.6672  1 Cr 2.47, 2 Mo 2.55
Nb 0.4411 0.0657 0.3328  1 Cr 2.47, 2 Mo 2.55
Mo 0.5000 0.0000 0.5000  6 Nb 2.55
Nb 0.3328 0.5657 0.4411  1 Cr 2.47, 2 Mo 2.55
Nb 0.5589 0.6247 0.3917  1 Cr 2.47, 2 Mo 2.55
Nb 0.3753 0.9343 0.7670  1 Cr 2.47, 2 Mo 2.55
Nb 0.8328 0.9411 0.0657  1 Cr 2.47, 2 Mo 2.55
Nb 0.4343 0.7670 0.8753  1 Cr 2.47, 2 Mo 2.55
Cr 0.3750 0.7500 0.6250  4 Nb 2.47
Nb 0.3917 0.2670 0.3328  1 Cr 2.47, 2 Mo 2.55
Mo 0.8750 0.6250 0.7500  4 Nb 2.55

Results
The calculated formation energy comes out at 1.3364 eV/atom. The symmetry is Ia-3d.